(1)
The following is a DFT calculation (PBE) of an optimized crystal structure of TlAgS2.

E_form (uncorrected) ... 121 meV per atom
Calculated density ... 7.05 g/cm3
Calculated volume ... 22.2 Å³/atom
Density of states at the Fermi level ... 0.1 states/eV/f.u.

abc: 7.2802 7.2802 6.1387
angles: 53.63 53.63 90.00
Fractional coordinates of all 8 atoms:
1 Tl 0.2500 0.7500 0.5000
2 S 0.6920 0.8080 0.0000
3 S 0.8080 0.3080 0.0000
4 Tl 0.7500 0.2500 0.5000
5 Ag 0.7500 0.7500 0.5000
6 S 0.1920 0.6920 0.0000
7 S 0.3080 0.1920 0.0000
8 Ag 0.2500 0.2500 0.5000

***

(2)
The following is a DFT calculation (PBE) of an optimized crystal structure of Sm2ErSc.

Calculated density ... 6.95 g/cm3
Energy of formation from the pure elements ... 0.103 eV per atom
Calculated volume ... 30.6 Å³/atom
Density of states at the Fermi level ... 6.2 states/eV/f.u.
Polymorph energy (0 for the lowest one) ... 0.063 eV/atom

abc: 5.5759 5.5759 5.5759
angles: 60.00 60.00 60.00
Fractional coordinates of all 4 atoms:
1 Sm 0.2500 0.2500 0.2500
2 Sc 0.5000 0.5000 0.5000
3 Er 0.0000 0.0000 0.0000
4 Sm 0.7500 0.7500 0.7500

***

(3)
The following is a DFT calculation (PBE) of an optimized crystal structure of Mg2InRu.

Calculated density ... 6.14 g/cm3
Energy of formation from the pure elements ... -0.085 eV per atom
Calculated volume ... 17.9 Å³/atom
Density of states at the Fermi level ... 1.7 states/eV/f.u.

abc: 5.2880 5.2880 4.3628
angles: 65.61 65.61 40.74
Fractional coordinates of all 4 atoms:
1 Mg 0.9997 0.9997 0.0000
2 In 0.2406 0.2406 0.2598
3 Mg 0.7617 0.7617 0.7386
4 Ru 0.4981 0.4981 0.5016

***

(4)
The following is a DFT calculation (PBE) of an optimized crystal structure of KSrCd3.

Calculated density ... 3.61 g/cm3
Energy of formation from the pure elements ... 0.353 eV per atom
Calculated volume ... 42.7 Å³/atom
Density of states at the Fermi level ... 3.2 states/eV/f.u.
Polymorph energy (0 for the lowest one) ... 0.099 eV/atom

abc: 5.9748 5.9748 5.9748
angles: 90.00 90.00 90.00
Fractional coordinates of all 5 atoms:
1 Sr 0.5000 0.5000 0.5000
2 Cd 0.0000 0.5000 0.0000
3 Cd 0.5000 0.0000 0.0000
4 K 0.0000 0.0000 0.0000
5 Cd 0.0000 0.0000 0.5000

***

(5)
The following is a DFT calculation (PBE) of an optimized crystal structure of Y6CuAu5.

Calculated density ... 9.42 g/cm3
Energy of formation from the pure elements ... -0.759 eV per atom
Calculated volume ... 23.2 Å³/atom
Density of states at the Fermi level ... 5.4 states/eV/f.u.

abc: 5.0961 7.1414 8.0752
angles: 90.00 71.61 90.00
Fractional coordinates of all 12 atoms:
1 Y 0.8344 0.2478 0.3311
2 Cu 0.0000 0.0000 0.0000
3 Au 0.6689 0.5000 0.6621
4 Y 0.8345 0.7522 0.3311
5 Y 0.5000 0.2483 0.0000
6 Au 0.3311 0.5000 0.3379
7 Au 0.0000 0.5000 0.0000
8 Au 0.6614 0.0000 0.6773
9 Y 0.5000 0.7517 0.0000
10 Y 0.1656 0.7522 0.6689
11 Au 0.3386 0.0000 0.3227
12 Y 0.1655 0.2478 0.6689

***

(6)
The following is a DFT calculation (PBE) of an optimized crystal structure of NpAl2InO8.

E_form (uncorrected) ... -2375 meV per atom
Calculated density ... 6.43 g/cm3
Calculated volume ... 11.5 Å³/atom
Density of states at the Fermi level ... 1.0 states/eV/f.u.

abc: 4.6683 4.6678 6.3249
angles: 90.00 90.00 90.35
Fractional coordinates of all 12 atoms:
1 O 0.6827 0.6830 0.5000
2 O 0.3066 0.3064 0.0000
3 Np 0.0000 0.0000 0.0000
4 O 0.2143 0.7855 0.7685
5 O 0.6934 0.6936 0.0000
6 O 0.7858 0.2145 0.7685
7 Al 0.5000 0.5000 0.7273
8 In 0.0000 0.0000 0.5000
9 Al 0.5000 0.5000 0.2727
10 O 0.2142 0.7855 0.2315
11 O 0.7857 0.2145 0.2315
12 O 0.3173 0.3170 0.5000

***

(7)
The following is a DFT calculation (PBE) of an optimized crystal structure of YEr3Tm2Te6.

E_form (uncorrected) ... -1212 meV per atom
Calculated density ... 8.21 g/cm3
Calculated volume ... 28.5 Å³/atom
Density of states at the Fermi level ... 6.5 states/eV/f.u.

abc: 4.3020 8.6841 9.6739
angles: 103.25 102.85 90.00
Fractional coordinates of all 12 atoms:
1 Er 0.5000 0.5000 0.0000
2 Te 0.9990 0.7466 0.9981
3 Te 0.3320 0.4181 0.6640
4 Te 0.6691 0.0848 0.3382
5 Y 0.5000 0.0000 0.0000
6 Tm 0.1648 0.3299 0.3296
7 Er 0.1637 0.8323 0.3274
8 Te 0.0010 0.2534 0.0019
9 Er 0.8363 0.1677 0.6726
10 Te 0.6680 0.5819 0.3360
11 Tm 0.8352 0.6701 0.6704
12 Te 0.3309 0.9152 0.6618

***

(8)
The following is a DFT calculation (PBE) of an optimized crystal structure of Ce2Nd4Bi3N2.

E_form (uncorrected) ... -989 meV per atom
Calculated density ... 7.99 g/cm3
Calculated volume ... 28.6 Å³/atom
Density of states at the Fermi level ... 16.6 states/eV/f.u.

abc: 4.8724 4.8724 13.6770
angles: 100.26 100.26 90.00
Fractional coordinates of all 11 atoms:
1 N 0.6082 0.6082 0.2165
2 Bi 0.8209 0.8209 0.6417
3 Ce 0.3093 0.3093 0.6186
4 Nd 0.4166 0.9166 0.8333
5 N 0.3918 0.3918 0.7835
6 Bi 0.1791 0.1791 0.3583
7 Nd 0.9166 0.4166 0.8333
8 Nd 0.0834 0.5834 0.1667
9 Ce 0.6907 0.6907 0.3814
10 Bi 0.0000 0.0000 0.0000
11 Nd 0.5834 0.0834 0.1667

***

- What is the density of states at the Fermi level in the second record?
  6.2 states/eV/f.u.

***

- Which of these has the lowest density of states at the Fermi level?
  TlAgS2

***

- Which of these has the highest calculated volume?
  KSrCd3

***

- Which formula does entry 7 have?
  YEr3Tm2Te6